Record 1
This record from the Alexandria database describes a geometry-optimized BeMoPt structure. The functional is PBE.

Lattice parameters (Å, degrees): 4.138 4.138 2.724 90.00 90.00 120.00
Element x y z (fractional)
Be 0.000 0.000 0.834
Mo 0.667 0.333 0.333
Pt 0.333 0.667 0.833

Properties
For the formation energy, the calculation gives -0.2587 eV/atom. The energy above the most stable polymorph in this dataset comes out at 147.8 meV per atom. Its density of states at the Fermi level is 2.4 states/eV per cell. For the calculated volume, the calculation gives 40.4 Å³ per cell.

=====

Record 2
This record from the Alexandria database describes a geometry-optimized HoIn5 structure. The functional is PBE.

Lattice parameters (Å, degrees): 4.570 4.616 7.656 107.54 90.00 90.00
Element x y z (fractional)
In 0.500 0.168 0.335
In 0.000 0.664 0.327
In 0.500 0.500 0.000
In 0.000 0.336 0.673
In 0.500 0.832 0.665
Ho 0.000 0.000 0.000

Properties
For the formation energy, the calculation gives -0.1858 eV/atom. The energy above the most stable polymorph in this dataset comes out at 21.2 meV per atom. Its density of states at the Fermi level is 3.3 states/eV per cell. For the calculated volume, the calculation gives 154.0 Å³ per cell.

=====

Record 3
This record from the Alexandria database describes a geometry-optimized Rb2Dy2SbS6 structure. The functional is PBE.

Lattice parameters (Å, degrees): 6.900 6.900 8.230 98.14 98.14 119.81
Element x y z (fractional)
Dy 0.333 0.667 0.500
Dy 0.667 0.333 0.500
S 0.938 0.613 0.314
Rb 0.168 0.832 0.000
S 0.613 0.938 0.314
S 0.062 0.387 0.686
S 0.387 0.062 0.686
S 0.259 0.259 0.315
S 0.741 0.741 0.685
Rb 0.832 0.168 0.000
Sb 0.000 0.000 0.500

Properties
The energy relative to the elements, uncorrected comes out at -1.3811 eV/atom. Its density of states at the Fermi level is 4.8 states/eV per cell. For the calculated volume, the calculation gives 326.1 Å³ per cell.

=====

Record 4
This record from the Alexandria database describes a geometry-optimized NdSm3Ho7 structure. The functional is PBE.

Lattice parameters (Å, degrees): 5.534 9.986 8.890 105.51 128.48 90.01
Element x y z (fractional)
Ho 0.500 0.000 0.500
Ho 0.853 0.711 0.353
Ho 0.920 0.830 0.920
Ho 0.680 0.360 0.180
Ho 0.080 0.170 0.080
Sm 0.000 0.500 0.000
Sm 0.719 0.002 0.218
Ho 0.320 0.640 0.820
Nd 0.500 0.500 0.500
Ho 0.147 0.289 0.647
Sm 0.281 0.998 0.782

Properties
For the formation energy, the calculation gives 0.1468 eV/atom. The energy above the most stable polymorph in this dataset comes out at 0.0 meV per atom. Its density of states at the Fermi level is 17.2 states/eV per cell. For the calculated volume, the calculation gives 361.4 Å³ per cell.

=====

Record 5
This record from the Alexandria database describes a geometry-optimized YMoPb2 structure. The functional is PBE.

Lattice parameters (Å, degrees): 5.250 5.250 5.250 60.00 60.00 60.00
Element x y z (fractional)
Pb 0.000 0.000 0.000
Mo 0.500 0.500 0.500
Y 0.750 0.750 0.750
Pb 0.250 0.250 0.250

Properties
For the formation energy, the calculation gives 0.5021 eV/atom. The energy above the most stable polymorph in this dataset comes out at 303.2 meV per atom. Its density of states at the Fermi level is 4.9 states/eV per cell. For the calculated volume, the calculation gives 102.3 Å³ per cell.

=====

Record 6
This record from the Alexandria database describes a geometry-optimized Er2Ru2C3 structure. The functional is PBE.

Lattice parameters (Å, degrees): 3.392 5.584 5.867 111.80 106.80 90.00
Element x y z (fractional)
C 0.000 0.000 0.000
Er 0.609 0.827 0.218
C 0.249 0.729 0.497
Ru 0.842 0.675 0.683
Er 0.391 0.173 0.782
Ru 0.158 0.325 0.317
C 0.751 0.271 0.503

Properties
For the formation energy, the calculation gives -0.2706 eV/atom. Its density of states at the Fermi level is 3.7 states/eV per cell. For the calculated volume, the calculation gives 98.1 Å³ per cell.